A plane-wave DFT calculation with PBE was carried out for a geometry-optimized MnFe4Co structure.

Lattice parameters (Å, degrees): 4.629 8.522 4.254 90.00 90.00 90.00
Sites, in units of the cell vectors:
Mn  0.250  0.250  0.000
Mn  0.750  0.750  0.000
Fe  0.115  0.517  0.250
Fe  0.115  0.983  0.750
Fe  0.385  0.517  0.750
Fe  0.385  0.983  0.250
Fe  0.615  0.017  0.750
Fe  0.615  0.483  0.250
Fe  0.885  0.017  0.250
Fe  0.885  0.483  0.750
Co  0.250  0.750  0.500
Co  0.750  0.250  0.500

- Space-group type: Pban
- Total moment: 28.20 μB per cell
- Energy above the most stable polymorph in this dataset: 0.5148 eV/atom
- DFT formation energy: 0.6492 eV/atom
- Uncorrected energy: -7.71 eV/atom
- V: 168 Å³/cell

=====

A plane-wave DFT calculation with PBE was carried out for a geometry-optimized Mn6FeCo5 structure.

Lattice parameters (Å, degrees): 6.980 6.980 6.980 146.46 131.97 59.85
Sites, in units of the cell vectors:
Mn  0.083  0.334  0.749
Mn  0.248  0.000  0.248
Mn  0.415  0.666  0.749
Mn  0.585  0.334  0.251
Mn  0.752  0.000  0.752
Mn  0.917  0.666  0.251
Fe  0.000  0.500  0.500
Co  0.167  0.167  0.000
Co  0.333  0.833  0.500
Co  0.500  0.500  0.000
Co  0.667  0.167  0.500
Co  0.833  0.833  0.000

- Space-group type: Immm
- Total moment: 23.15 μB per cell
- DFT formation energy: 0.0239 eV/atom
- Uncorrected energy: -8.23 eV/atom
- V: 138 Å³/cell

=====

A plane-wave DFT calculation with PBE was carried out for a geometry-optimized MnFeCo14 structure.

Lattice parameters (Å, degrees): 8.159 4.993 4.993 60.48 90.00 90.00
Sites, in units of the cell vectors:
Mn  0.000  0.000  0.000
Fe  0.000  0.500  0.500
Co  0.000  0.501  0.999
Co  0.000  0.999  0.501
Co  0.248  0.327  0.327
Co  0.253  0.826  0.826
Co  0.257  0.331  0.829
Co  0.257  0.829  0.331
Co  0.500  0.162  0.162
Co  0.500  0.162  0.662
Co  0.500  0.662  0.162
Co  0.500  0.662  0.662
Co  0.743  0.331  0.829
Co  0.743  0.829  0.331
Co  0.747  0.826  0.826
Co  0.752  0.327  0.327

- Space-group type: Amm2
- Total moment: 28.16 μB per cell
- DFT formation energy: 0.0359 eV/atom
- Uncorrected energy: -7.28 eV/atom
- V: 177 Å³/cell